No. 1
# PbC2 (PBE, relaxed)
data_PbC2
_chemical_formula_sum 'Pb2 C4'
_symmetry_space_group_name_H-M 'P 63/m m c'
_symmetry_Int_Tables_number 194
_symmetry_space_group_name_Hall '-P 6c 2c'
_cell_length_a 3.7422
_cell_length_b 3.7422
_cell_length_c 8.8425
_cell_angle_alpha 90.00
_cell_angle_beta 90.00
_cell_angle_gamma 120.00
loop_
_atom_site_label
_atom_site_fract_x
_atom_site_fract_y
_atom_site_fract_z
Pb1 0.3333 0.6667 0.2500
C1 0.0000 0.0000 0.0719
# DOS(E_F) = 0.1534 states/eV/atom
# Polymorph energy (0 for the lowest one) = 871 meV per atom

***

No. 2
# PbC2 (PBE, relaxed)
data_PbC2
_chemical_formula_sum 'Pb4 C8'
_symmetry_space_group_name_H-M 'C 1 2/m 1'
_symmetry_Int_Tables_number 12
_symmetry_space_group_name_Hall '-C 2y'
_cell_length_a 12.975
_cell_length_b 2.661
_cell_length_c 6.850
_cell_angle_alpha 90.00
_cell_angle_beta 108.24
_cell_angle_gamma 90.00
loop_
_atom_site_label
_atom_site_fract_x
_atom_site_fract_y
_atom_site_fract_z
Pb1 0.145 0.000 0.075
C1 0.026 0.000 0.613
C2 0.048 0.500 0.713
# DOS(E_F) = 0.2239 states/eV/atom
# Polymorph energy (0 for the lowest one) = 628 meV per atom

***

No. 3
# Pb4C (PBE, relaxed)
data_Pb4C
_chemical_formula_sum 'Pb4 C1'
_symmetry_space_group_name_H-M 'P m -3 m'
_symmetry_Int_Tables_number 221
_symmetry_space_group_name_Hall '-P 4 2 3'
_cell_length_a 5.140
_cell_length_b 5.140
_cell_length_c 5.140
_cell_angle_alpha 90.00
_cell_angle_beta 90.00
_cell_angle_gamma 90.00
loop_
_atom_site_label
_atom_site_fract_x
_atom_site_fract_y
_atom_site_fract_z
Pb1 0.000 0.000 0.000
Pb2 0.000 0.500 0.500
C1 0.500 0.500 0.500
# DOS(E_F) = 0.8152 states/eV/atom
# Polymorph energy (0 for the lowest one) = 0 meV per atom

***

No. 4
# PbC3 (PBE, relaxed)
data_PbC3
_chemical_formula_sum 'Pb2 C6'
_symmetry_space_group_name_H-M 'I 4/m m m'
_symmetry_Int_Tables_number 139
_symmetry_space_group_name_Hall '-I 4 2'
_cell_length_a 4.086
_cell_length_b 4.086
_cell_length_c 5.912
_cell_angle_alpha 90.00
_cell_angle_beta 90.00
_cell_angle_gamma 90.00
loop_
_atom_site_label
_atom_site_fract_x
_atom_site_fract_y
_atom_site_fract_z
Pb1 0.000 0.000 0.000
C1 0.000 0.000 0.500
C2 0.000 0.500 0.250
# DOS(E_F) = 0.4636 states/eV/atom
# Polymorph energy (0 for the lowest one) = 2684 meV per atom

***

No. 5
# PbC5 (PBE, relaxed)
data_PbC5
_chemical_formula_sum 'Pb2 C10'
_symmetry_space_group_name_H-M 'C 1 m 1'
_symmetry_Int_Tables_number 8
_symmetry_space_group_name_Hall 'C -2y'
_cell_length_a 15.247
_cell_length_b 2.588
_cell_length_c 3.853
_cell_angle_alpha 90.00
_cell_angle_beta 93.51
_cell_angle_gamma 90.00
loop_
_atom_site_label
_atom_site_fract_x
_atom_site_fract_y
_atom_site_fract_z
Pb1 0.000 0.000 0.000
C1 0.127 0.000 0.646
C2 0.171 0.500 0.625
C3 0.264 0.500 0.580
C4 0.311 0.000 0.569
C5 0.403 0.000 0.559
# DOS(E_F) = 0.2405 states/eV/atom
# Polymorph energy (0 for the lowest one) = 0 meV per atom

***

No. 6
# PbC2 (PBE, relaxed)
data_PbC2
_chemical_formula_sum 'Pb4 C8'
_symmetry_space_group_name_H-M 'I m m m'
_symmetry_Int_Tables_number 71
_symmetry_space_group_name_Hall '-I 2 2'
_cell_length_a 3.440
_cell_length_b 3.785
_cell_length_c 15.675
_cell_angle_alpha 90.00
_cell_angle_beta 90.00
_cell_angle_gamma 90.00
loop_
_atom_site_label
_atom_site_fract_x
_atom_site_fract_y
_atom_site_fract_z
Pb1 0.000 0.000 0.166
C1 0.000 0.500 0.067
C2 0.200 0.000 0.500
# DOS(E_F) = 0.1934 states/eV/atom
# Polymorph energy (0 for the lowest one) = 390 meV per atom

***

No. 7
# PbC5 (PBE, relaxed)
data_PbC5
_chemical_formula_sum 'Pb1 C5'
_symmetry_space_group_name_H-M 'P 6/m m m'
_symmetry_Int_Tables_number 191
_symmetry_space_group_name_Hall '-P 6 2'
_cell_length_a 4.1545
_cell_length_b 4.1545
_cell_length_c 4.3130
_cell_angle_alpha 90.00
_cell_angle_beta 90.00
_cell_angle_gamma 120.00
loop_
_atom_site_label
_atom_site_fract_x
_atom_site_fract_y
_atom_site_fract_z
Pb1 0.0000 0.0000 0.0000
C1 0.0000 0.5000 0.5000
C2 0.3333 0.6667 0.0000
# DOS(E_F) = 0.2892 states/eV/atom
# Polymorph energy (0 for the lowest one) = 2713 meV per atom

***

No. 8
# PbC2 (PBE, relaxed)
data_PbC2
_chemical_formula_sum 'Pb4 C8'
_symmetry_space_group_name_H-M 'I m m m'
_symmetry_Int_Tables_number 71
_symmetry_space_group_name_Hall '-I 2 2'
_cell_length_a 3.419
_cell_length_b 5.600
_cell_length_c 11.083
_cell_angle_alpha 90.00
_cell_angle_beta 90.00
_cell_angle_gamma 90.00
loop_
_atom_site_label
_atom_site_fract_x
_atom_site_fract_y
_atom_site_fract_z
Pb1 0.000 0.000 0.153
C1 0.000 0.310 0.000
C2 0.202 0.000 0.500
# DOS(E_F) = 0.2722 states/eV/atom
# Polymorph energy (0 for the lowest one) = 380 meV per atom

***

No. 9
# Pb3C (PBE, relaxed)
data_Pb3C
_chemical_formula_sum 'Pb9 C3'
_symmetry_space_group_name_H-M 'R -3 m'
_symmetry_Int_Tables_number 166
_symmetry_space_group_name_Hall '-R 3 2"'
_cell_length_a 10.2068
_cell_length_b 10.2068
_cell_length_c 3.4878
_cell_angle_alpha 90.00
_cell_angle_beta 90.00
_cell_angle_gamma 120.00
loop_
_atom_site_label
_atom_site_fract_x
_atom_site_fract_y
_atom_site_fract_z
Pb1 0.0000 0.5000 0.0000
C1 0.0000 0.0000 0.0000
# DOS(E_F) = 0.6091 states/eV/atom
# Polymorph energy (0 for the lowest one) = 790 meV per atom

***

No. 10
# Pb3C (PBE, relaxed)
data_Pb3C
_chemical_formula_sum 'Pb12 C4'
_symmetry_space_group_name_H-M 'C m c m'
_symmetry_Int_Tables_number 63
_symmetry_space_group_name_Hall '-C 2c 2'
_cell_length_a 10.023
_cell_length_b 14.144
_cell_length_c 2.996
_cell_angle_alpha 90.00
_cell_angle_beta 90.00
_cell_angle_gamma 90.00
loop_
_atom_site_label
_atom_site_fract_x
_atom_site_fract_y
_atom_site_fract_z
Pb1 0.000 0.125 0.250
Pb2 0.174 0.350 0.250
C1 0.000 0.480 0.250
# DOS(E_F) = 0.3540 states/eV/atom
# Polymorph energy (0 for the lowest one) = 0 meV per atom

***

No. 11
# Pb5C3 (PBE, relaxed)
data_Pb5C3
_chemical_formula_sum 'Pb10 C6'
_symmetry_space_group_name_H-M 'C m m m'
_symmetry_Int_Tables_number 65
_symmetry_space_group_name_Hall '-C 2 2'
_cell_length_a 8.084
_cell_length_b 11.356
_cell_length_c 3.962
_cell_angle_alpha 90.00
_cell_angle_beta 90.00
_cell_angle_gamma 90.00
loop_
_atom_site_label
_atom_site_fract_x
_atom_site_fract_y
_atom_site_fract_z
Pb1 0.000 0.000 0.000
Pb2 0.191 0.500 0.500
Pb3 0.250 0.250 0.000
C1 0.000 0.328 0.500
C2 0.000 0.500 0.000
# DOS(E_F) = 0.4672 states/eV/atom
# Polymorph energy (0 for the lowest one) = 122 meV per atom

***

No. 12
# PbC3 (PBE, relaxed)
data_PbC3
_chemical_formula_sum 'Pb4 C12'
_symmetry_space_group_name_H-M 'P 63/m m c'
_symmetry_Int_Tables_number 194
_symmetry_space_group_name_Hall '-P 6c 2c'
_cell_length_a 5.3334
_cell_length_b 5.3334
_cell_length_c 8.7960
_cell_angle_alpha 90.00
_cell_angle_beta 90.00
_cell_angle_gamma 120.00
loop_
_atom_site_label
_atom_site_fract_x
_atom_site_fract_y
_atom_site_fract_z
Pb1 0.0000 0.0000 0.0000
Pb2 0.3333 0.6667 0.2500
C1 0.0000 0.5000 0.0000
C2 0.2411 0.4823 0.7500
# DOS(E_F) = 0.5389 states/eV/atom
# Polymorph energy (0 for the lowest one) = 2003 meV per atom

***

| no. | formation energy from the elements (eV/atom) |
| --- | --- |
| 1 | 1.2526 |
| 2 | 1.0096 |
| 3 | 0.8263 |
| 4 | 3.5723 |
| 5 | 1.0333 |
| 6 | 0.7714 |
| 7 | 3.7459 |
| 8 | 0.7621 |
| 9 | 1.4896 |
| 10 | 0.6996 |
| 11 | 1.7144 |
| 12 | 2.8921 |